1.
KIr2W | GGA-PBE | optimized geometry

Calculated values
- density of states at the Fermi level (states/eV/f.u.) = 3.21
- energy above the most stable polymorph in this dataset (meV per atom) = 236
- total magnetic moment (μB per cell) = 0.00

Cell: 2.956 4.711 10.136 Å, 90.00 90.00 90.00°
Space group Cmmm (No. 65)
One atom of each set of equivalent atoms:
K: 0.000 0.000 0.000
Ir: 0.000 0.500 0.282
W: 0.000 0.000 0.500


2.
ReNi2Hg | GGA-PBE | optimized geometry

Calculated values
- calculated total energy (eV per atom) = -5.7161
- density of states at the Fermi level (states/eV/f.u.) = 2.60
- total magnetic moment (μB per cell) = 0.00

Cell: 4.161 2.687 10.185 Å, 90.00 90.00 90.00°
Space group Amm2 (No. 38)
One atom of each set of equivalent atoms:
Re: 0.000 0.000 0.000
Ni: 0.000 0.000 0.282
Ni: 0.500 0.000 0.418
Hg: 0.500 0.000 0.674


3.
PrTh2Pa | GGA-PBE | optimized geometry

Calculated values
- density of states at the Fermi level (states/eV/f.u.) = 6.70
- energy above the most stable polymorph in this dataset (meV per atom) = 0
- total magnetic moment (μB per cell) = 0.00

Cell: 3.510 3.510 10.086 Å, 90.00 90.00 90.00°
Space group P4/mmm (No. 123)
One atom of each set of equivalent atoms:
Pr: 0.000 0.000 0.000
Th: 0.500 0.500 0.266
Pa: 0.000 0.000 0.500


4.
Fe2CBr | GGA-PBE | optimized geometry

Calculated values
- density of states at the Fermi level (states/eV/f.u.) = 2.98
- energy above the most stable polymorph in this dataset (meV per atom) = 0
- total magnetic moment (μB per cell) = 0.00

Cell: 4.720 4.720 9.752 Å, 90.00 90.00 90.00°
Space group I-42d (No. 122)
One atom of each set of equivalent atoms:
Fe: 0.156 0.250 0.125
C: 0.000 0.000 0.000
Br: 0.000 0.000 0.500


5.
VFeRuRh | GGA-PBE | optimized geometry

Calculated values
- calculated total energy (eV per atom) = -8.6838
- density of states at the Fermi level (states/eV/f.u.) = 4.76
- total magnetic moment (μB per cell) = 3.71

Cell: 2.968 3.168 5.779 Å, 90.00 90.00 90.00°
Space group Pmm2 (No. 25)
One atom of each set of equivalent atoms:
V: 0.000 0.000 0.000
Fe: 0.000 0.000 0.511
Ru: 0.500 0.500 0.763
Rh: 0.500 0.500 0.260


6.
Pr4InAgO | GGA-PBE | optimized geometry

Calculated values
- calculated total energy (eV per atom) = -5.1677
- density of states at the Fermi level (states/eV/f.u.) = 4.30
- total magnetic moment (μB per cell) = 0.00

Cell: 7.025 15.850 7.035 Å, 90.00 90.00 90.00°
Space group Cmcm (No. 63)
One atom of each set of equivalent atoms:
Pr: 0.000 0.067 0.250
Pr: 0.000 0.420 0.250
Pr: 0.250 0.250 0.000
In: 0.000 0.383 0.750
Ag: 0.000 0.121 0.750
O: 0.000 0.253 0.250


7.
CdRe2W | GGA-PBE | optimized geometry

Calculated values
- calculated total energy (eV per atom) = -9.1833
- density of states at the Fermi level (states/eV/f.u.) = 2.98
- total magnetic moment (μB per cell) = 0.00

Cell: 9.507 2.915 4.900 Å, 90.00 103.35 90.00°
Space group C2/m (No. 12)
One atom of each set of equivalent atoms:
Cd: 0.000 0.000 0.000
Re: 0.234 0.000 0.723
W: 0.000 0.500 0.500


8.
KBeOs2 | GGA-PBE | optimized geometry

Calculated values
- calculated total energy (eV per atom) = -5.3430
- density of states at the Fermi level (states/eV/f.u.) = 4.47
- total magnetic moment (μB per cell) = 0.00

Cell: 5.478 9.642 2.522 Å, 90.00 90.00 90.00°
Space group Cmmm (No. 65)
One atom of each set of equivalent atoms:
K: 0.000 0.000 0.000
Be: 0.000 0.500 0.000
Os: 0.250 0.250 0.500


9.
RbTe2F7 | GGA-PBE | optimized geometry

Calculated values
- calculated total energy (eV per atom) = -3.9966
- density of states at the Fermi level (states/eV/f.u.) = 3.80
- total magnetic moment (μB per cell) = 0.00

Cell: 7.063 13.488 4.432 Å, 90.00 90.00 90.00°
Space group Cmmm (No. 65)
One atom of each set of equivalent atoms:
Rb: 0.000 0.000 0.000
Te: 0.000 0.334 0.500
F: 0.000 0.341 0.000
F: 0.000 0.500 0.500
F: 0.211 0.142 0.500


10.
B5C7 | GGA-PBE | optimized geometry

Calculated values
- density of states at the Fermi level (states/eV/f.u.) = 2.23
- energy above the most stable polymorph in this dataset (meV per atom) = 121
- total magnetic moment (μB per cell) = 0.00

Cell: 13.310 2.593 4.733 Å, 90.00 104.83 90.00°
Space group Cm (No. 8)
One atom of each set of equivalent atoms:
B: 0.000 0.000 0.000
B: 0.005 0.500 0.525
B: 0.149 0.000 0.186
B: 0.167 0.000 0.838
B: 0.338 0.000 0.718
C: 0.128 0.500 0.633
C: 0.180 0.500 0.391
C: 0.292 0.000 0.030
C: 0.295 0.500 0.488
C: 0.337 0.500 0.210
C: 0.456 0.500 0.299
C: 0.460 0.000 0.816


11.
AcTeH2Rh2 | GGA-PBE | optimized geometry

Calculated values
- calculated total energy (eV per atom) = -5.2691
- density of states at the Fermi level (states/eV/f.u.) = 2.50
- total magnetic moment (μB per cell) = 0.00

Cell: 5.623 5.737 6.824 Å, 90.00 102.18 90.00°
Space group P2_1/m (No. 11)
One atom of each set of equivalent atoms:
Ac: 0.217 0.250 0.354
Te: 0.258 0.750 0.100
H: 0.163 0.250 0.716
H: 0.276 0.750 0.626
Rh: 0.340 0.503 0.792


12.
Y4Er2H | GGA-PBE | optimized geometry

Calculated values
- calculated total energy (eV per atom) = -5.3996
- density of states at the Fermi level (states/eV/f.u.) = 6.88
- total magnetic moment (μB per cell) = 0.01

Cell: 4.820 4.820 17.147 Å, 90.00 90.00 90.00°
Space group I4/mmm (No. 139)
One atom of each set of equivalent atoms:
Y: 0.000 0.000 0.151
Y: 0.000 0.500 0.000
Er: 0.000 0.000 0.353
H: 0.000 0.000 0.000


13.
Sc3FeSe | GGA-PBE | optimized geometry

Calculated values
- density of states at the Fermi level (states/eV/f.u.) = 13.00
- energy above the most stable polymorph in this dataset (meV per atom) = 425
- total magnetic moment (μB per cell) = 0.00

Cell: 4.904 4.904 4.904 Å, 90.00 90.00 90.00°
Space group Pm-3m (No. 221)
One atom of each set of equivalent atoms:
Sc: 0.000 0.000 0.500
Fe: 0.500 0.500 0.500
Se: 0.000 0.000 0.000